Record 1
Here is an optimized crystal structure of Sm2Ru2O7 from the Alexandria database. Energies are from PBEsol.

abc: 7.2142 7.2142 7.2142
angles: 60.00 60.00 60.00
Each line ends with the local moment (μB).
Fractional positions:
O: 0.2500 0.2500 0.2500  0.00
O: 0.2943 0.7057 0.2943  0.02
O: 0.9557 0.5443 0.5443  0.02
O: 0.7057 0.2943 0.2943  0.02
O: 0.9557 0.9557 0.5443  0.02
O: 0.7057 0.2943 0.7057  0.02
O: 0.5443 0.5443 0.9557  0.02
O: 0.0000 0.0000 0.0000  0.00
O: 0.5443 0.9557 0.5443  0.02
O: 0.2943 0.7057 0.7057  0.02
O: 0.2943 0.2943 0.7057  0.02
O: 0.9557 0.5443 0.9557  0.02
O: 0.5443 0.9557 0.9557  0.02
O: 0.7057 0.7057 0.2943  0.02
Ru: 0.6250 0.6250 0.1250  0.27
Ru: 0.1250 0.6250 0.6250  0.27
Ru: 0.6250 0.6250 0.6250  0.27
Ru: 0.6250 0.1250 0.6250  0.27
Sm: 0.6250 0.1250 0.1250  0.00
Sm: 0.1250 0.6250 0.1250  0.00
Sm: 0.1250 0.1250 0.1250  0.00
Sm: 0.1250 0.1250 0.6250  0.00

Computed properties:
Spin magnetization ... 0.709 μB/f.u.
Electronic total energy ... -8.2779 eV per atom
E_form (uncorrected) ... -23.782 eV/f.u.
ρ ... 7.7 g/cm3
SG ... Fd-3m

Record 2
Here is an optimized crystal structure of CdBiSb2I from the Alexandria database. Energies are from PBEsol.

abc: 5.4745 5.4745 5.5027
angles: 90.00 90.00 90.00
Fractional positions:
Cd: 0.0000 0.0000 0.0000
Sb: 0.0000 0.5000 0.0000
Sb: 0.5000 0.0000 0.0000
Bi: 0.5000 0.5000 0.5000
I: 0.0000 0.0000 0.5000

Computed properties:
Spin magnetization ... 0.000 μB/f.u.
Electronic total energy ... -2.6881 eV per atom
E_form (uncorrected) ... 2.923 eV/f.u.
ρ ... 7.0 g/cm3
SG ... P4/mmm

Record 3
Here is an optimized crystal structure of ScRh2Pb from the Alexandria database. Energies are from PBEsol.

abc: 3.8792 3.8792 5.2356
angles: 111.74 111.74 90.00
Fractional positions:
Pb: 0.2500 0.7500 0.5000
Rh: 0.7500 0.2500 0.5000
Rh: 0.0000 0.0000 0.0000
Sc: 0.5000 0.5000 0.0000

Computed properties:
Spin magnetization ... 0.000 μB/f.u.
Electronic total energy ... -7.2266 eV per atom
ρ ... 11.3 g/cm3
SG ... I-4m2
ΔE_f ... -2.03 eV per formula unit

Record 4
Here is an optimized crystal structure of PbAu2 from the Alexandria database. Energies are from PBEsol.

abc: 5.5939 7.9043 11.2641
angles: 90.00 90.00 90.00
Fractional positions:
Au: 0.0000 0.0000 0.5000
Au: 0.7136 0.7750 0.1262
Au: 0.2864 0.7750 0.6262
Au: 0.5000 0.5000 0.5000
Au: 0.0000 0.0000 0.0000
Au: 0.4769 0.5000 0.7500
Au: 0.9769 0.0000 0.7500
Au: 0.7136 0.2250 0.3738
Au: 0.0231 0.0000 0.2500
Au: 0.2136 0.2750 0.3738
Au: 0.2864 0.2250 0.8738
Au: 0.2136 0.7250 0.1262
Au: 0.7864 0.7250 0.6262
Au: 0.7864 0.2750 0.8738
Au: 0.5000 0.5000 0.0000
Au: 0.5231 0.5000 0.2500
Pb: 0.0110 0.6263 0.8751
Pb: 0.5110 0.1263 0.6249
Pb: 0.9890 0.3737 0.1249
Pb: 0.4890 0.8737 0.3751
Pb: 0.5110 0.8737 0.8751
Pb: 0.9890 0.6263 0.3751
Pb: 0.4890 0.1263 0.1249
Pb: 0.0110 0.3737 0.6249

Computed properties:
Spin magnetization ... 0.000 μB/f.u.
Electronic total energy ... -4.0076 eV per atom
ρ ... 16.0 g/cm3
SG ... Pbcn
ΔE_f ... -0.18 eV per formula unit